The following is a DFT calculation (PBE) of a relaxed SmMg4Be4Zn4 crystal.

Properties
- VASP energy (eV/atom) = -2.370
- space group = I4/mmm
- calculated volume (Å³/atom) = 15.6

extended XYZ file:
```
13
Lattice="-4.4582 4.4582 2.5458 4.4582 -4.4582 2.5458 4.4582 4.4582 -2.5458" Properties=species:S:1:pos:R:3 pbc="T T T"
Sm 0.0000 0.0000 0.0000
Mg 3.0913 0.0000 0.0000
Mg 5.8250 0.0000 0.0000
Mg 0.0000 3.0913 0.0000
Mg 0.0000 5.8250 0.0000
Be 4.4582 2.7133 0.0000
Be 2.7133 4.4582 0.0000
Be 1.7449 0.0000 2.5458
Be 0.0000 1.7449 2.5458
Zn 2.2291 2.2291 -1.2729
Zn 2.2291 -2.2291 1.2729
Zn -2.2291 2.2291 1.2729
Zn 2.2291 2.2291 1.2729
```

The following is a DFT calculation (PBE) of a relaxed SmMg4Be4Zn4 crystal.

Properties
- VASP energy (eV/atom) = -2.317
- space group = I4/mmm
- calculated volume (Å³/atom) = 15.8

extended XYZ file:
```
13
Lattice="-4.4896 4.4896 2.5409 4.4896 -4.4896 2.5409 4.4896 4.4896 -2.5409" Properties=species:S:1:pos:R:3 pbc="T T T"
Sm 0.0000 0.0000 0.0000
Mg 4.4896 2.4146 0.0000
Mg 2.4146 4.4896 0.0000
Mg 2.0750 0.0000 2.5409
Mg 0.0000 2.0750 2.5409
Be 2.2448 2.2448 -1.2704
Be 2.2448 -2.2448 1.2704
Be -2.2448 2.2448 1.2704
Be 2.2448 2.2448 1.2704
Zn 3.0896 0.0000 0.0000
Zn 5.8895 0.0000 0.0000
Zn 0.0000 3.0896 0.0000
Zn 0.0000 5.8895 0.0000
```

Copy entry 1 word for word.
The following is a DFT calculation (PBE) of a relaxed SmMg4Be4Zn4 crystal.

Properties
- VASP energy (eV/atom) = -2.370
- space group = I4/mmm
- calculated volume (Å³/atom) = 15.6

extended XYZ file:
```
13
Lattice="-4.4582 4.4582 2.5458 4.4582 -4.4582 2.5458 4.4582 4.4582 -2.5458" Properties=species:S:1:pos:R:3 pbc="T T T"
Sm 0.0000 0.0000 0.0000
Mg 3.0913 0.0000 0.0000
Mg 5.8250 0.0000 0.0000
Mg 0.0000 3.0913 0.0000
Mg 0.0000 5.8250 0.0000
Be 4.4582 2.7133 0.0000
Be 2.7133 4.4582 0.0000
Be 1.7449 0.0000 2.5458
Be 0.0000 1.7449 2.5458
Zn 2.2291 2.2291 -1.2729
Zn 2.2291 -2.2291 1.2729
Zn -2.2291 2.2291 1.2729
Zn 2.2291 2.2291 1.2729
```